Record 1
Below is an optimized crystal structure of K2TbMgF6, with properties calculated at the PBE level.

## Properties
Volume = 163.2 Å³ per cell
ΔE_f (raw) = -3.17 eV per atom

Structure (CIF):
```
data_K2TbMgF6
_chemical_formula_sum 'K2 Tb1 Mg1 F6'
_space_group_name_H-M_alt 'P 1'
_space_group_IT_number 1
_space_group_name_Hall 'P 1'
_cell_length_a 6.1420
_cell_length_b 6.1310
_cell_length_c 5.8005
_cell_angle_alpha 61.92
_cell_angle_beta 61.67
_cell_angle_gamma 89.33
loop_
_atom_site_label
_atom_site_fract_x
_atom_site_fract_y
_atom_site_fract_z
_atom_site_occupancy
F1 0.7585 0.2402 0.0020 1
F2 0.7879 0.7862 0.9522 1
Tb1 0.5000 0.5000 0.0000 1
F3 0.7863 0.7873 0.4736 1
F4 0.2121 0.2138 0.0478 1
F5 0.2415 0.7598 0.9980 1
F6 0.2137 0.2127 0.5264 1
K1 0.2314 0.7695 0.4994 1
K2 0.7686 0.2305 0.5006 1
Mg1 0.0000 0.0000 0.0000 1
```

---

Record 2
Below is an optimized crystal structure of YTmAgGe, with properties calculated at the PBE level.

## Properties
Volume = 91.3 Å³ per cell
E = -5.13 eV/atom

Structure (CIF):
```
data_YTmAgGe
_chemical_formula_sum 'Y1 Tm1 Ag1 Ge1'
_space_group_name_H-M_alt 'P 1'
_space_group_IT_number 1
_space_group_name_Hall 'P 1'
_cell_length_a 5.0537
_cell_length_b 5.0537
_cell_length_c 5.0537
_cell_angle_alpha 60.00
_cell_angle_beta 60.00
_cell_angle_gamma 60.00
loop_
_atom_site_label
_atom_site_fract_x
_atom_site_fract_y
_atom_site_fract_z
_atom_site_occupancy
Ge1 0.5000 0.5000 0.5000 1
Ag1 0.0000 0.0000 0.0000 1
Tm1 0.7500 0.7500 0.7500 1
Y1 0.2500 0.2500 0.2500 1
```

---

Record 3
Below is an optimized crystal structure of Ce2PmY3S6, with properties calculated at the PBE level.

## Properties
Volume = 266.1 Å³ per cell
ΔE_f (raw) = -2.03 eV per atom

Structure (CIF):
```
data_Ce2PmY3S6
_chemical_formula_sum 'Ce2 Pm1 Y3 S6'
_space_group_name_H-M_alt 'P 1'
_space_group_IT_number 1
_space_group_name_Hall 'P 1'
_cell_length_a 6.8544
_cell_length_b 6.8544
_cell_length_c 6.9326
_cell_angle_alpha 99.50
_cell_angle_beta 99.50
_cell_angle_gamma 120.05
loop_
_atom_site_label
_atom_site_fract_x
_atom_site_fract_y
_atom_site_fract_z
_atom_site_occupancy
Pm1 0.0000 0.0000 0.0000 1
Ce1 0.6665 0.3335 0.0000 1
S1 0.9130 0.5787 0.7389 1
S2 0.7522 0.7522 0.2594 1
S3 0.2478 0.2478 0.7406 1
Y1 0.5000 0.5000 0.5000 1
S4 0.5787 0.9130 0.7389 1
Y2 0.1646 0.8354 0.5000 1
S5 0.0870 0.4213 0.2611 1
S6 0.4213 0.0870 0.2611 1
Y3 0.8354 0.1646 0.5000 1
Ce2 0.3335 0.6665 0.0000 1
```